The following is a DFT calculation (PBE) of a geometry-optimized SmPaPdRu structure.

a b c (Å): 6.9811 6.9811 6.9811
angles (deg): 90.00 90.00 90.00
Closest atoms and distances in Å follow each position.
Space group F-43m (No. 216)
Asymmetric unit:
1 Sm 0.0000 0.0000 0.0000  4 Ru 3.02, 4 Pd 3.02
2 Pa 0.0000 0.0000 0.5000  4 Ru 3.02, 4 Pd 3.02
3 Pd 0.2500 0.2500 0.2500  4 Pa 3.02, 4 Sm 3.02
4 Ru 0.2500 0.2500 0.7500  4 Pa 3.02, 4 Sm 3.02

The value obtained for the total energy is -7.55 eV/atom. The value obtained for the size of the total moment is 0.00 μB/f.u. Its density of states at the Fermi level is 28.6 states/eV per cell.